RbUCu2Se4: optimized geometry, PBE.

The raw formation energy is -55 kJ per mole of atoms. The spin magnetization comes out at 1.00 μB per formula unit.

Unit cell a=6.5395 b=6.9385 c=6.9385 alpha=73.44 beta=61.88 gamma=61.88
Last column: nearest neighbours and their distance in Å.
Sites, in units of the cell vectors:
1 Se 0.5582 0.4993 0.8577  1 Cu 2.30
2 Cu 0.8618 0.6382 0.6382  2 Se 2.30, 1 Cu 2.49
3 Se 0.9152 0.5007 0.1423  1 Cu 2.30
4 U 0.5000 0.5000 0.5000  4 Se 2.68
5 Rb 0.0000 0.0000 0.0000  8 Se 3.55-3.60
6 Se 0.0848 0.8577 0.4993  1 Cu 2.30
7 Se 0.4418 0.1423 0.5007  1 Cu 2.30
8 Cu 0.1382 0.3618 0.3618  2 Se 2.30, 1 Cu 2.49